A plane-wave DFT calculation with PBE was carried out for a relaxed structure of YZn2Ag.

abc: 4.5898 5.5540 6.7245
angles: 90.00 90.00 114.41
Atoms (fractional coordinates):
Zn 0.3805 0.7609 0.5596
Zn 0.6195 0.2391 0.4404
Zn 0.6195 0.2391 0.0596
Zn 0.3805 0.7609 0.9404
Y 0.0937 0.1874 0.7500
Y 0.9063 0.8126 0.2500
Ag 0.2032 0.4064 0.2500
Ag 0.7968 0.5936 0.7500

Calculated values
- energy of formation from the pure elements (eV per atom) = -0.31
- spin magnetization (μB per formula unit) = 0.00
- E (eV/cell) = -26.2


A plane-wave DFT calculation with PBE was carried out for a relaxed structure of Y3ZnAg.

abc: 5.1170 5.1189 10.0898
angles: 90.00 75.31 90.00
Atoms (fractional coordinates):
Y 0.8892 0.7500 0.8700
Y 0.0732 0.7500 0.5019
Y 0.7592 0.2500 0.1300
Y 0.5751 0.2500 0.4981
Y 0.3916 0.2500 0.8651
Y 0.2567 0.7500 0.1349
Zn 0.9801 0.2500 0.6881
Zn 0.6682 0.7500 0.3119
Ag 0.1643 0.2500 0.3197
Ag 0.4840 0.7500 0.6803

Calculated values
- energy of formation from the pure elements (eV per atom) = -0.26
- spin magnetization (μB per formula unit) = 0.00
- polymorph energy (0 for the lowest one) (eV/atom) = 0.000
- E (eV/cell) = -49.6


> Which value of spin magnetization does entry 1 give?

0.00 μB per formula unit